Material: TmSc2B6
Method: DFT, GGA-PBE
State: relaxed

Geometry as extended XYZ:
```
9
Lattice="-2.0620 2.2521 -1.9621 -2.8369 -4.2988 -1.9527 -1.6434 2.5168 4.6158" Properties=species:S:1:pos:R:3 pbc="T T T"
B -1.9882 -0.3244 -1.6400
Sc -2.4391 -2.0269 0.2368
B -2.1199 2.7937 2.0773
B -2.5427 0.5248 -0.0825
B -2.9107 -1.7223 -2.2749
B -1.5855 1.9753 0.5764
Sc -2.0413 0.2450 2.4263
B -3.9996 -0.0547 0.7834
Tm 0.0000 0.0000 0.0000
```

Summary:
Symmetry: No. 191
Total energy (eV per atom): -7.12
Energy above the most stable polymorph in this dataset (meV per atom): 0
Formation enthalpy at 0 K (meV/atom): -762.8

Material: ScUB
Method: DFT, GGA-PBE
State: relaxed

Geometry as extended XYZ:
```
6
Lattice="4.8582 0.0000 0.0000 0.0000 2.9478 0.0000 -2.4291 -1.4739 7.2932" Properties=species:S:1:pos:R:3 pbc="T T T"
U 3.6354 1.4739 0.0000
B 0.0000 1.4739 2.1911
Sc 0.0000 1.4739 4.6017
Sc 2.4291 0.0000 2.6915
U 1.2228 1.4739 0.0000
B 2.4291 0.0000 5.1020
```

Summary:
Symmetry: No. 71
Total energy (eV per atom): -7.67
Formation enthalpy at 0 K (meV/atom): 428.6

Material: Sc2VB
Method: DFT, GGA-PBE
State: relaxed

Geometry as extended XYZ:
```
8
Lattice="8.6201 0.0000 0.0000 0.0000 8.6201 0.0000 4.3101 4.3101 2.0716" Properties=species:S:1:pos:R:3 pbc="T T T"
Sc 3.4311 6.4651 0.5179
Sc 5.1890 2.1550 0.5179
B 4.3101 8.6201 1.0358
Sc 6.4651 7.7412 1.5537
V 8.6201 4.3101 1.0358
Sc 10.7752 9.4991 1.5537
V 0.0000 0.0000 0.0000
B 4.3101 4.3101 0.0000
```

Summary:
Symmetry: No. 122
Total energy (eV per atom): -6.83
Formation enthalpy at 0 K (meV/atom): 281.3

Material: Sc2VB
Method: DFT, GGA-PBE
State: relaxed

Geometry as extended XYZ:
```
4
Lattice="1.0062 9.4623 0.1860 3.8550 8.6661 0.7874 2.9037 8.8235 -2.0729" Properties=species:S:1:pos:R:3 pbc="T T T"
B 0.0000 0.0000 0.0000
Sc 7.0990 24.6407 -1.0051
Sc 0.6659 2.3112 -0.0943
V 3.8825 13.4760 -0.5497
```

Summary:
Symmetry: No. 166
Total energy (eV per atom): -6.09
Formation enthalpy at 0 K (meV/atom): 1024.5

Material: ScV3B
Method: DFT, GGA-PBE
State: relaxed

Geometry as extended XYZ:
```
5
Lattice="4.2709 0.0000 0.0000 0.0000 4.2709 0.0000 0.0000 0.0000 4.2709" Properties=species:S:1:pos:R:3 pbc="T T T"
V 0.0000 2.1355 0.0000
V 2.1355 0.0000 0.0000
Sc 0.0000 0.0000 0.0000
V 0.0000 0.0000 2.1355
B 2.1355 2.1355 2.1355
```

Summary:
Symmetry: No. 221
Total energy (eV per atom): -5.74
Energy above the most stable polymorph in this dataset (meV per atom): 2238
Formation enthalpy at 0 K (meV/atom): 2328.2

Material: ScV3B
Method: DFT, GGA-PBE
State: relaxed

Geometry as extended XYZ:
```
5
Lattice="4.1699 0.0000 0.0000 0.0000 4.1699 0.0000 0.0000 0.0000 4.1699" Properties=species:S:1:pos:R:3 pbc="T T T"
B 0.0000 0.0000 0.0000
Sc 2.0849 2.0849 2.0849
V 0.0000 0.0000 2.0849
V 0.0000 2.0849 0.0000
V 2.0849 0.0000 0.0000
```

Summary:
Symmetry: No. 221
Total energy (eV per atom): -7.98
Energy above the most stable polymorph in this dataset (meV per atom): 0
Formation enthalpy at 0 K (meV/atom): 89.7

Material: Sc2VB6
Method: DFT, GGA-PBE
State: relaxed

Geometry as extended XYZ:
```
9
Lattice="-0.2327 -3.3407 0.2307 4.4306 -0.1034 2.9722 -4.7709 0.4938 2.3388" Properties=species:S:1:pos:R:3 pbc="T T T"
V -4.7709 0.4938 2.3388
B 2.8675 -1.7400 2.1170
B -0.2275 -1.5429 1.8495
B -0.3455 -1.4074 3.6922
B -1.6742 -1.5091 0.8790
Sc -1.7037 0.2947 2.5500
Sc 1.3635 0.0957 2.7611
B -3.3294 -1.3378 1.6905
B 1.3304 -1.7041 1.0858
```

Summary:
Symmetry: No. 191
Total energy (eV per atom): -7.70
Formation enthalpy at 0 K (meV/atom): -825.9

Material: ScVB3
Method: DFT, GGA-PBE
State: relaxed

Geometry as extended XYZ:
```
5
Lattice="-1.1415 1.6905 3.3620 -3.7583 -0.3342 -1.1080 -0.1906 -3.5347 1.7127" Properties=species:S:1:pos:R:3 pbc="T T T"
B -1.8791 -0.1671 -0.5540
B -0.0953 -1.7674 0.8563
B -0.5707 0.8453 1.6810
V 0.0000 0.0000 0.0000
Sc -2.5452 -1.0892 1.9833
```

Summary:
Symmetry: No. 221
Total energy (eV per atom): -6.76
Energy above the most stable polymorph in this dataset (meV per atom): 1092
Formation enthalpy at 0 K (meV/atom): 332.0

Material: Sc3VB
Method: DFT, GGA-PBE
State: relaxed

Geometry as extended XYZ:
```
5
Lattice="-1.2744 -1.1531 -4.3403 2.9708 -3.5999 0.0842 -3.3678 -2.7391 1.7166" Properties=species:S:1:pos:R:3 pbc="T T T"
Sc 1.4854 -1.7999 0.0421
B 0.0000 0.0000 0.0000
V -0.8357 -3.7461 -1.2698
Sc -0.6372 -0.5766 -2.1701
Sc -1.6839 -1.3696 0.8583
```

Summary:
Symmetry: No. 221
Total energy (eV per atom): -6.75
Energy above the most stable polymorph in this dataset (meV per atom): 0
Formation enthalpy at 0 K (meV/atom): 211.1

Material: ScV2B
Method: DFT, GGA-PBE
State: relaxed

Geometry as extended XYZ:
```
8
Lattice="-1.9117 1.0514 6.5102 -3.2137 -6.0674 0.0362 -0.5764 -3.5556 4.0257" Properties=species:S:1:pos:R:3 pbc="T T T"
B -2.5627 -2.5080 3.2732
V -0.9133 -1.4452 2.2624
V -3.5263 -4.4299 8.7317
Sc -2.5254 -2.5061 6.9045
V -3.2190 -4.0946 4.6602
Sc 0.0000 0.0000 0.0000
B -3.1764 -6.0655 3.6675
V -3.7451 -7.1735 5.4898
```

Summary:
Symmetry: No. 122
Total energy (eV per atom): -7.55
Formation enthalpy at 0 K (meV/atom): 265.8

Material: Sc3VB
Method: DFT, GGA-PBE
State: relaxed

Geometry as extended XYZ:
```
5
Lattice="4.7439 0.0000 0.0000 0.0000 4.7439 0.0000 0.0000 0.0000 4.7439" Properties=species:S:1:pos:R:3 pbc="T T T"
Sc 2.3720 0.0000 0.0000
B 2.3720 2.3720 2.3720
V 0.0000 0.0000 0.0000
Sc 0.0000 2.3720 0.0000
Sc 0.0000 0.0000 2.3720
```

Summary:
Symmetry: No. 221
Total energy (eV per atom): -5.72
Energy above the most stable polymorph in this dataset (meV per atom): 1032
Formation enthalpy at 0 K (meV/atom): 1242.8

Material: Sc2VB
Method: DFT, GGA-PBE
State: relaxed

Geometry as extended XYZ:
```
4
Lattice="1.8113 0.0000 8.5350 -0.9057 1.5687 8.5350 -0.9057 -1.5687 8.5350" Properties=species:S:1:pos:R:3 pbc="T T T"
V 0.0000 0.0000 0.0000
B 0.0000 0.0000 12.8025
Sc 0.0000 0.0000 22.8669
Sc 0.0000 0.0000 2.7381
```

Summary:
Symmetry: No. 166
Total energy (eV per atom): -6.65
Formation enthalpy at 0 K (meV/atom): 463.5

Material: ScV2B2
Method: DFT, GGA-PBE
State: relaxed

Geometry as extended XYZ:
```
10
Lattice="6.0498 0.0000 0.0000 0.0000 6.0498 0.0000 0.0000 0.0000 3.0700" Properties=species:S:1:pos:R:3 pbc="T T T"
V 4.0640 5.0107 1.5350
B 5.4251 3.6496 0.0000
B 0.6247 2.4002 0.0000
Sc 3.0249 3.0249 0.0000
Sc 0.0000 0.0000 0.0000
B 3.6496 0.6247 0.0000
V 1.9858 1.0391 1.5350
B 2.4002 5.4251 0.0000
V 1.0391 4.0640 1.5350
V 5.0107 1.9858 1.5350
```

Summary:
Symmetry: No. 127
Total energy (eV per atom): -7.92
Formation enthalpy at 0 K (meV/atom): -333.7

Material: ScVB3
Method: DFT, GGA-PBE
State: relaxed

Geometry as extended XYZ:
```
5
Lattice="4.0895 0.0000 0.0000 0.0000 4.0895 0.0000 0.0000 0.0000 4.0895" Properties=species:S:1:pos:R:3 pbc="T T T"
Sc 0.0000 0.0000 0.0000
V 2.0448 2.0448 2.0448
B 2.0448 0.0000 0.0000
B 0.0000 2.0448 0.0000
B 0.0000 0.0000 2.0448
```

Summary:
Symmetry: No. 221
Total energy (eV per atom): -5.15
Energy above the most stable polymorph in this dataset (meV per atom): 2703
Formation enthalpy at 0 K (meV/atom): 1943.2

Material: ScVB3
Method: DFT, GGA-PBE
State: relaxed

Geometry as extended XYZ:
```
10
Lattice="-1.8208 -0.0696 2.7656 -1.6510 -2.3060 -1.1451 6.9581 -6.1944 2.4420" Properties=species:S:1:pos:R:3 pbc="T T T"
B -0.6800 -3.2771 1.4529
V 1.2590 -4.3017 0.7205
B 4.1663 -5.2930 2.6097
B 2.7303 -5.8172 1.6511
B 0.7560 -2.7529 2.4115
B 5.3518 -6.5141 3.3594
Sc 3.0119 -7.0798 3.7877
V 2.2273 -4.2684 3.3420
B -1.8655 -2.0560 0.7031
Sc 0.4744 -1.4903 0.2748
```

Summary:
Symmetry: No. 63
Total energy (eV per atom): -7.86
Energy above the most stable polymorph in this dataset (meV per atom): 0
Formation enthalpy at 0 K (meV/atom): -759.7

Material: ScV2B6
Method: DFT, GGA-PBE
State: relaxed

Geometry as extended XYZ:
```
9
Lattice="-1.4864 1.6013 2.3229 -2.2606 3.1022 -3.5851 -2.3857 -4.4244 1.5234" Properties=species:S:1:pos:R:3 pbc="T T T"
Sc -2.3857 -4.4244 1.5234
B -4.6263 -1.5689 0.3101
B -2.3235 -2.1300 2.1705
B -2.3119 0.3543 0.4654
B -3.8209 -0.0751 -0.2042
B -1.5064 1.8480 -0.0489
B -1.5487 -0.6931 1.6758
V -2.3440 -1.9155 -0.1795
V -3.7887 2.1947 0.4406
```

Summary:
Symmetry: No. 191
Total energy (eV per atom): -7.97
Formation enthalpy at 0 K (meV/atom): -784.7

Material: ScB2W
Method: DFT, GGA-PBE
State: relaxed

Geometry as extended XYZ:
```
16
Lattice="-1.0526 3.6536 -2.4347 -3.6994 0.6666 2.5998 5.2555 3.1540 6.6697" Properties=species:S:1:pos:R:3 pbc="T T T"
W -1.9456 3.7311 3.3192
B -3.3332 2.2419 1.6815
B 0.1405 3.6155 4.3471
B -2.0404 3.6899 -0.8890
B -1.0107 2.3233 4.9655
Sc 1.5790 5.1196 5.9699
B 2.5439 3.7843 7.7238
B 0.3630 3.8588 2.4877
B 1.5142 5.1509 1.8693
W 2.4491 3.7432 3.5156
W -3.4923 4.4953 0.9223
Sc 0.0882 5.9275 3.6414
Sc -1.0755 2.3547 0.8649
W 3.9958 2.9790 5.9125
B 3.8367 5.2323 5.1533
Sc 0.4153 1.5468 3.1934
```

Summary:
Symmetry: No. 13
Total energy (eV per atom): -8.71
Energy above the most stable polymorph in this dataset (meV per atom): 0
Formation enthalpy at 0 K (meV/atom): -553.3

Material: ScB2W2
Method: DFT, GGA-PBE
State: relaxed

Geometry as extended XYZ:
```
10
Lattice="-4.0298 -2.0282 -4.1684 -1.2776 -4.8234 3.5820 -2.3210 1.6756 1.4285" Properties=species:S:1:pos:R:3 pbc="T T T"
Sc 0.0000 0.0000 0.0000
W -4.9204 -2.4290 -1.5628
W -2.7079 -2.7469 2.4048
Sc -2.6537 -3.4258 -0.2932
W -4.9242 -4.5211 0.8851
B -0.9377 -2.1081 0.9492
W -2.7042 -0.6548 -0.0431
B -4.3697 -4.7434 -1.5357
B -2.7161 -5.0933 1.5615
B -2.5913 -1.7582 -2.1479
```

Summary:
Symmetry: No. 127
Total energy (eV per atom): -9.44
Formation enthalpy at 0 K (meV/atom): -325.0

Material: ScBW3
Method: DFT, GGA-PBE
State: relaxed

Geometry as extended XYZ:
```
5
Lattice="-2.1350 0.1578 4.0421 0.6218 -4.5034 0.5042 3.9971 0.7848 2.0806" Properties=species:S:1:pos:R:3 pbc="T T T"
Sc 0.0000 0.0000 0.0000
B 1.2420 -1.7804 3.3134
W 0.3109 -2.2517 0.2521
W 1.9986 0.3924 1.0403
W -1.0675 0.0789 2.0211
```

Summary:
Symmetry: No. 221
Total energy (eV per atom): -7.06
Energy above the most stable polymorph in this dataset (meV per atom): 3094
Formation enthalpy at 0 K (meV/atom): 3311.7

Material: ScBW3
Method: DFT, GGA-PBE
State: relaxed

Geometry as extended XYZ:
```
5
Lattice="4.2905 0.0000 0.0000 0.0000 4.2905 0.0000 0.0000 0.0000 4.2905" Properties=species:S:1:pos:R:3 pbc="T T T"
B 0.0000 0.0000 0.0000
W 2.1452 0.0000 0.0000
W 0.0000 0.0000 2.1452
W 0.0000 2.1452 0.0000
Sc 2.1452 2.1452 2.1452
```

Summary:
Symmetry: No. 221
Total energy (eV per atom): -10.16
Energy above the most stable polymorph in this dataset (meV per atom): 0
Formation enthalpy at 0 K (meV/atom): 217.8